No. 1
Crystalline LiFeP2 at its relaxed geometry. Source: Alexandria, functional GGA-PBE.

Geometry as CIF:
```
data_LiFeP2
_chemical_formula_sum 'Li1 Fe1 P2'
_symmetry_space_group_name_H-M 'P 1'
_symmetry_Int_Tables_number 1
_symmetry_space_group_name_Hall 'P 1'
_cell_length_a 4.0178
_cell_length_b 4.0178
_cell_length_c 4.0178
_cell_angle_alpha 60.00
_cell_angle_beta 60.00
_cell_angle_gamma 60.00
loop_
_atom_site_label
_atom_site_type_symbol
_atom_site_fract_x
_atom_site_fract_y
_atom_site_fract_z
_atom_site_occupancy
P1 P 0.2500 0.2500 0.2500 1
P2 P 0.7500 0.7500 0.7500 1
Fe1 Fe 0.5000 0.5000 0.5000 1
Li1 Li 0.0000 0.0000 0.0000 1
```

Its density of states at the Fermi level is 1.37 states/eV/f.u. The space-group type is Fm-3m (225). As for the magnetization: 0.00 μB/atom. The calculation puts the formation energy at -0.8 eV/f.u. As for the density: 4516 kg/m³.



No. 2
Crystalline LiFeP4 at its relaxed geometry. Source: Alexandria, functional GGA-PBE.

Geometry as CIF:
```
data_LiFeP4
_chemical_formula_sum 'Li1 Fe1 P4'
_symmetry_space_group_name_H-M 'P 1'
_symmetry_Int_Tables_number 1
_symmetry_space_group_name_Hall 'P 1'
_cell_length_a 5.0147
_cell_length_b 5.0147
_cell_length_c 5.0147
_cell_angle_alpha 60.00
_cell_angle_beta 60.00
_cell_angle_gamma 60.00
loop_
_atom_site_label
_atom_site_type_symbol
_atom_site_fract_x
_atom_site_fract_y
_atom_site_fract_z
_atom_site_occupancy
Li1 Li 0.0000 0.0000 0.0000 1
Fe1 Fe 0.2500 0.2500 0.2500 1
P1 P 0.6233 0.6233 0.1300 1
P2 P 0.6233 0.1300 0.6233 1
P3 P 0.6233 0.6233 0.6233 1
P4 P 0.1300 0.6233 0.6233 1
```

Its density of states at the Fermi level is 2.53 states/eV/f.u. The space-group type is F-43m (216). As for the magnetization: 0.55 μB/atom. The calculation puts the formation energy at 2.6 eV/f.u. As for the density: 3476 kg/m³.